## AgH12C4S5N (PBE)

Data for a relaxed structure of AgH12C4S5N.

The structure in CIF format:
```
data_AgH12C4S5N
_cell_length_a 10.863
_cell_length_b 18.309
_cell_length_c 7.139
_cell_angle_alpha 90.00
_cell_angle_beta 123.14
_cell_angle_gamma 90.00
_symmetry_space_group_name_H-M 'C 1 c 1'
_symmetry_Int_Tables_number 9
_symmetry_space_group_name_Hall 'C -2yc'
loop_
_atom_site_label
_atom_site_fract_x
_atom_site_fract_y
_atom_site_fract_z
_atom_site_occupancy
Ag1 0.000 0.021 0.000 1
H1 0.045 0.443 0.191 1
H2 0.068 0.333 0.392 1
H3 0.106 0.331 0.088 1
H4 0.179 0.140 0.453 1
H5 0.208 0.141 0.227 1
H6 0.229 0.224 0.381 1
H7 0.361 0.044 0.633 1
H8 0.386 0.154 0.833 1
H9 0.389 0.045 0.407 1
H10 0.433 0.239 0.758 1
H11 0.451 0.158 0.304 1
H12 0.471 0.241 0.454 1
C1 0.243 0.164 0.390 1
C2 0.427 0.067 0.573 1
C3 0.451 0.179 0.777 1
C4 0.489 0.182 0.468 1
S1 0.050 0.165 0.689 1
S2 0.141 0.065 0.835 1
S3 0.293 0.424 0.729 1
S4 0.326 0.349 0.971 1
S5 0.341 0.379 0.512 1
N1 0.402 0.148 0.552 1
```

## Properties
- Total DFT energy (no corrections): -4.868 eV/atom
- Theoretical density: 1912 kg/m3